DyH: optimized geometry, PBE.

Summary:
space group = F-43m (216)
final energy = -8.77 eV for the cell shown

```
2
Lattice="0.000 2.586 2.586 2.586 0.000 2.586 2.586 2.586 0.000" Properties=species:S:1:pos:R:3 pbc="T T T"
Dy 0.000 0.000 0.000
H 1.293 1.293 1.293
```



Dy2H: optimized geometry, PBE.

Summary:
excess energy over the best structure of this formula in the dataset = 0.0 kJ per mole of atoms
space group = Fd-3m (227)

```
6
Lattice="-3.587 -0.379 5.946 2.987 1.889 5.990 -2.030 5.824 3.214" Properties=species:S:1:pos:R:3 pbc="T T T"
Dy -2.002 5.662 7.288
Dy 0.507 3.694 8.676
Dy -0.987 2.750 5.681
Dy -2.780 2.560 8.654
H -1.315 3.667 7.575
H -0.658 1.833 3.787
```



DyH: optimized geometry, PBE.

Summary:
space group = P-6m2 (187)
final energy = -8.26 eV for the cell shown

```
2
Lattice="-0.851 2.020 2.464 0.908 -3.102 0.650 3.083 0.961 0.277" Properties=species:S:1:pos:R:3 pbc="T T T"
H 1.093 -1.155 1.324
Dy 2.048 1.033 2.067
```



Dy2H5: optimized geometry, PBE.

Summary:
space group = I4_1/amd (141)
final energy = -61.07 eV for the cell shown

```
14
Lattice="-2.551 2.551 5.171 2.551 -2.551 5.171 2.551 2.551 -5.171" Properties=species:S:1:pos:R:3 pbc="T T T"
Dy 2.551 0.000 2.546
Dy 0.000 0.000 5.132
Dy 0.000 0.000 10.254
Dy 0.000 2.551 2.497
H 3.739 1.275 -1.357
H -1.188 1.276 3.814
H 1.276 1.363 6.400
H 0.000 0.000 7.688
H 1.275 1.188 1.229
H 1.363 1.275 -1.357
H 2.551 0.000 5.102
H 1.188 1.276 3.814
H 3.827 1.188 1.229
H -1.276 1.363 6.400
```



DyH: optimized geometry, PBE.

Summary:
space group = Fm-3m (225)
final energy = -8.69 eV for the cell shown

```
2
Lattice="0.000 2.449 2.449 2.449 0.000 2.449 2.449 2.449 0.000" Properties=species:S:1:pos:R:3 pbc="T T T"
H 2.449 2.449 2.449
Dy 0.000 0.000 0.000
```



DyHoH2I4: optimized geometry, PBE.

Summary:
space group = P-6m2 (187)
final energy = -31.55 eV for the cell shown

```
8
Lattice="-3.609 1.639 0.361 1.342 -2.494 2.796 6.648 12.822 8.245" Properties=species:S:1:pos:R:3 pbc="T T T"
H -1.958 0.261 1.173
H 3.016 5.295 6.107
I 0.520 5.042 4.247
I 5.495 10.077 9.183
I 0.536 0.512 3.032
I 2.211 8.302 6.344
Dy 3.324 6.411 4.123
Ho 0.000 0.000 0.000
```



DyH4I3O11: optimized geometry, PBE.

Summary:
space group = P-1 (2)
final energy = -192.27 eV for the cell shown

```
38
Lattice="-6.037 -3.248 -1.145 3.148 -2.702 5.809 -2.508 9.020 4.517" Properties=species:S:1:pos:R:3 pbc="T T T"
H -3.449 0.386 7.246
H -2.185 -3.607 5.255
H -1.948 2.683 1.934
H -3.256 5.167 3.390
H -3.211 6.676 3.926
H -4.452 0.557 6.030
H -0.945 2.512 3.150
H -2.141 -2.097 5.791
O -4.614 -2.599 1.047
O -2.053 -1.236 0.368
O -3.343 4.306 8.812
O -4.159 1.232 1.067
O -2.843 5.776 4.064
O -0.020 3.729 6.401
O -1.785 2.150 2.762
O 0.862 1.189 6.484
O -2.554 -2.707 5.117
O -1.238 1.838 8.114
O -5.377 -0.659 2.780
O -7.224 4.481 3.683
O -5.065 5.124 6.664
O -6.258 1.880 2.697
O -3.612 0.919 6.419
O -2.711 -0.677 3.122
O -0.301 0.010 4.207
O -0.331 -2.055 2.517
O -5.096 3.060 4.973
O -0.782 5.669 8.133
O -2.685 3.747 6.058
O 1.828 -1.411 5.498
I -0.993 -0.327 2.525
I -0.768 2.034 6.364
I -4.404 3.397 6.656
I -4.628 1.036 2.817
I -6.012 5.726 4.258
I 0.615 -2.656 4.923
Dy -1.329 5.627 5.828
Dy -4.068 -2.557 3.353
```



DyH6SIO10: optimized geometry, PBE.

Summary:
space group = P2_12_12_1 (19)
final energy = -422.62 eV for the cell shown

```
76
Lattice="6.597 0.000 0.000 0.000 8.613 0.000 0.000 0.000 13.434" Properties=species:S:1:pos:R:3 pbc="T T T"
O 5.171 4.450 12.423
O 2.789 8.098 3.257
O 1.873 5.524 4.395
O 3.859 3.030 8.059
O 3.315 1.789 5.168
O 1.256 3.838 6.279
O 6.581 6.824 11.885
O 4.879 0.367 11.452
O 6.037 5.583 1.342
O 5.177 5.736 3.965
O 5.171 7.396 9.039
O 4.719 2.877 10.682
O 0.560 1.276 5.375
O 5.342 8.144 0.438
O 1.580 3.940 1.982
O 3.282 6.095 1.549
O 6.267 2.388 0.434
O 2.739 7.337 12.092
O 4.725 1.218 2.322
O 0.017 2.518 8.266
O 0.510 0.515 9.974
O 6.126 3.509 3.815
O 6.087 4.822 10.177
O 1.872 8.470 1.011
O 2.828 0.798 9.619
O 4.554 0.469 7.155
O 1.719 4.673 8.699
O 1.426 0.143 7.728
O 5.017 8.246 4.735
O 1.879 7.184 9.469
O 1.426 3.089 11.112
O 0.330 6.695 6.283
O 2.043 4.776 12.996
O 3.770 5.104 10.532
O 4.725 4.163 5.706
O 1.420 1.429 2.752
O 0.471 7.816 2.902
O 3.809 3.792 3.460
O 3.629 6.225 7.151
O 2.969 1.918 13.000
H 6.178 7.084 5.768
H 3.528 7.849 11.784
H 1.316 2.485 10.354
H 3.069 3.543 8.367
H 1.977 2.612 11.793
H 3.718 1.529 12.485
H 6.368 0.764 5.067
H 0.658 7.427 6.869
H 5.939 3.120 13.282
H 0.468 1.366 6.348
H 3.767 2.940 7.086
H 4.615 1.822 3.080
H 6.129 5.673 0.369
H 2.641 1.186 0.152
H 5.281 6.791 9.797
H 2.831 7.247 13.065
H 2.880 5.836 7.666
H 1.322 6.001 5.076
H 3.957 5.493 6.565
H 4.621 6.919 8.358
H 1.982 6.128 3.637
H 0.419 2.777 0.949
H 0.230 5.070 1.650
H 5.275 1.694 1.641
I 3.528 0.073 5.725
I 3.069 4.380 0.992
I 0.229 4.233 7.709
I 6.368 8.540 12.442
Dy 4.996 1.169 9.199
Dy 1.697 3.137 4.235
Dy 4.900 7.444 2.482
Dy 1.601 5.476 10.952
S 1.673 8.609 9.178
S 4.925 4.302 10.973
S 4.971 4.311 4.256
S 1.626 0.004 2.461
```



PrDyH2I4: optimized geometry, PBE.

Summary:
space group = P-6m2 (187)
final energy = -31.94 eV for the cell shown

```
8
Lattice="-2.947 2.773 -0.518 -0.787 -3.954 -0.626 -4.370 -1.659 15.986" Properties=species:S:1:pos:R:3 pbc="T T T"
Dy 0.000 0.000 0.000
I -5.330 -3.163 13.394
I -3.833 -0.079 5.320
I -4.991 -0.518 9.558
I -2.054 -1.919 1.412
Pr -2.185 -0.830 7.993
H -2.227 0.531 -0.554
H -3.692 -2.541 7.403
```



TbDyH2I4: optimized geometry, PBE.

Summary:
space group = P-6m2 (187)
final energy = -31.70 eV for the cell shown

```
8
Lattice="-2.983 1.811 1.962 -0.691 -1.715 -3.551 -3.667 -14.296 7.617" Properties=species:S:1:pos:R:3 pbc="T T T"
H -3.288 -7.688 2.096
H -2.219 0.636 0.125
I -4.520 -8.335 4.904
I -3.585 -4.690 2.962
I -1.920 -2.355 -0.746
I -4.656 -13.020 4.937
Dy 0.000 0.000 0.000
Tb -1.834 -7.148 3.809
```



K2DyH4: optimized geometry, PBE.

Summary:
space group = I4/mmm (139)
final energy = -19.86 eV for the cell shown

```
7
Lattice="-3.305 3.305 3.578 3.305 -3.305 3.578 3.305 3.305 -3.578" Properties=species:S:1:pos:R:3 pbc="T T T"
H -1.773 1.773 3.578
H 1.773 -1.773 3.578
H 1.531 1.531 0.000
H 1.773 1.773 3.578
K 3.305 0.000 1.789
K 0.000 3.305 1.789
Dy 0.000 0.000 0.000
```



K2Dy4H4Se9: optimized geometry, PBE.

Summary:
space group = C2/m (12)
final energy = -86.98 eV for the cell shown

```
19
Lattice="-2.926 -6.709 1.794 0.559 -7.515 0.115 8.039 6.238 13.691" Properties=species:S:1:pos:R:3 pbc="T T T"
Se 4.130 -0.500 8.811
Se -0.337 -7.998 3.137
Se 1.542 -7.486 6.789
Se 1.411 -3.295 4.507
Se 6.008 0.012 12.463
Se -1.505 -11.919 2.592
Se 4.019 3.119 6.845
Se 7.177 3.933 13.008
Se 4.261 -4.691 11.092
Dy 2.819 -2.084 6.850
Dy 2.852 -5.902 8.750
Dy 0.219 -2.918 1.854
Dy 5.453 -5.068 13.746
H 5.461 2.452 10.156
H 0.211 -10.438 5.444
H -0.804 -7.377 1.870
H 6.476 -0.609 13.730
K 2.022 1.046 3.695
K 3.649 -9.032 11.905
```



Here are the calculated total magnetization numbers, same order: 0.0 0.0 0.0 0.0 0.0 0.0 0.0 0.0 0.0 0.0 1.0 0.0 (μB/cell).